1.
Entry from Alexandria: a relaxed structure of AgHgSe2N (GGA-PBE).

Fermi-level density of states = 1.119 states/eV per atom
Polymorph energy (0 for the lowest one) = 0.0000 eV per atom
Uncorrected energy = -2.59 eV per atom

Cell: 5.275 5.275 4.045 Å, 90.00 90.00 90.00°
Fractional coordinates of all 5 atoms:
Ag (0.000, 0.000, 0.000)
Hg (0.500, 0.500, 0.500)
Se (0.000, 0.500, 0.000)
Se (0.500, 0.000, 0.000)
N (0.000, 0.000, 0.500)

***

2.
Entry from Alexandria: a relaxed structure of SiBPb (GGA-PBE).

Fermi-level density of states = 0.454 states/eV per atom
Uncorrected energy = -3.86 eV per atom

Cell: 4.458 4.458 4.458 Å, 60.00 60.00 60.00°
Fractional coordinates of all 3 atoms:
Si (0.000, 0.000, 0.000)
B (0.250, 0.250, 0.250)
Pb (0.750, 0.750, 0.750)

***

3.
Entry from Alexandria: a relaxed structure of ZnInFe2 (GGA-PBE).

Fermi-level density of states = 0.666 states/eV per atom
Uncorrected energy = -5.01 eV per atom
DFT formation energy = 5.3 kcal/mol of atoms

Cell: 4.355 4.355 4.355 Å, 60.00 60.00 60.00°
Fractional coordinates of all 4 atoms:
Zn (0.000, 0.000, 0.000)
In (0.750, 0.750, 0.750)
Fe (0.250, 0.250, 0.250)
Fe (0.500, 0.500, 0.500)

***

4.
Entry from Alexandria: a relaxed structure of Tb2Dy3Th (GGA-PBE).

Fermi-level density of states = 1.788 states/eV per atom
Polymorph energy (0 for the lowest one) = 0.0000 eV per atom
Uncorrected energy = -4.95 eV per atom
DFT formation energy = 3.0 kcal/mol of atoms

Cell: 6.825 6.825 11.155 Å, 106.04 106.04 50.73°
Fractional coordinates of all 12 atoms:
Tb (0.127, 0.127, 0.111)
Tb (0.371, 0.371, 0.374)
Tb (0.629, 0.629, 0.626)
Tb (0.873, 0.873, 0.889)
Dy (0.128, 0.128, 0.470)
Dy (0.375, 0.375, 0.040)
Dy (0.378, 0.378, 0.712)
Dy (0.622, 0.622, 0.288)
Dy (0.625, 0.625, 0.960)
Dy (0.872, 0.872, 0.530)
Th (0.111, 0.111, 0.786)
Th (0.889, 0.889, 0.214)

***

5.
Entry from Alexandria: a relaxed structure of LaPr2DyBi5 (GGA-PBE).

Fermi-level density of states = 0.814 states/eV per atom
Uncorrected energy = -4.50 eV per atom
DFT formation energy = -5.1 kcal/mol of atoms

Cell: 5.433 5.433 12.224 Å, 90.00 90.00 90.00°
Fractional coordinates of all 9 atoms:
La (0.000, 0.000, 0.000)
Pr (0.500, 0.500, 0.272)
Pr (0.500, 0.500, 0.728)
Dy (0.000, 0.000, 0.500)
Bi (0.000, 0.000, 0.251)
Bi (0.000, 0.000, 0.749)
Bi (0.000, 0.500, 0.500)
Bi (0.500, 0.000, 0.500)
Bi (0.500, 0.500, 0.000)

***

6.
Entry from Alexandria: a relaxed structure of SbPb3 (GGA-PBE).

Fermi-level density of states = 0.344 states/eV per atom
Uncorrected energy = -3.78 eV per atom

Cell: 3.452 5.872 6.023 Å, 90.00 90.00 90.00°
Fractional coordinates of all 4 atoms:
Sb (0.000, 0.000, 0.000)
Pb (0.000, 0.500, 0.665)
Pb (0.500, 0.000, 0.500)
Pb (0.500, 0.500, 0.153)

***

7.
Entry from Alexandria: a relaxed structure of Ce7In2 (GGA-PBE).

Fermi-level density of states = 2.592 states/eV per atom
Polymorph energy (0 for the lowest one) = 0.2341 eV per atom
Uncorrected energy = -5.09 eV per atom
DFT formation energy = 3.1 kcal/mol of atoms

Cell: 15.342 15.342 15.342 Å, 23.35 23.35 23.35°
Fractional coordinates of all 18 atoms:
Ce (0.000, 0.000, 0.000)
Ce (0.000, 0.000, 0.500)
Ce (0.000, 0.500, 0.000)
Ce (0.097, 0.097, 0.097)
Ce (0.127, 0.127, 0.590)
Ce (0.127, 0.590, 0.127)
Ce (0.220, 0.220, 0.220)
Ce (0.410, 0.873, 0.873)
Ce (0.500, 0.000, 0.000)
Ce (0.590, 0.127, 0.127)
Ce (0.780, 0.780, 0.780)
Ce (0.873, 0.410, 0.873)
Ce (0.873, 0.873, 0.410)
Ce (0.903, 0.903, 0.903)
In (0.350, 0.350, 0.350)
In (0.452, 0.452, 0.452)
In (0.548, 0.548, 0.548)
In (0.650, 0.650, 0.650)

***

8.
Entry from Alexandria: a relaxed structure of LiNbHgS2 (GGA-PBE).

Fermi-level density of states = 0.513 states/eV per atom
Uncorrected energy = -4.46 eV per atom

Cell: 4.816 4.816 5.497 Å, 90.00 90.00 90.00°
Fractional coordinates of all 5 atoms:
Li (0.000, 0.000, 0.000)
Nb (0.500, 0.500, 0.500)
Hg (0.500, 0.500, 0.000)
S (0.000, 0.500, 0.500)
S (0.500, 0.000, 0.500)

***

9.
Entry from Alexandria: a relaxed structure of Tb3AlZn6Ga2 (GGA-PBE).

Fermi-level density of states = 0.476 states/eV per atom
Uncorrected energy = -2.83 eV per atom
DFT formation energy = -5.2 kcal/mol of atoms

Cell: 5.323 5.323 9.797 Å, 90.00 90.00 120.00°
Fractional coordinates of all 12 atoms:
Tb (0.000, 0.000, 0.000)
Tb (0.333, 0.667, 0.572)
Tb (0.667, 0.333, 0.428)
Al (0.000, 0.000, 0.500)
Zn (0.169, 0.339, 0.272)
Zn (0.169, 0.831, 0.272)
Zn (0.339, 0.169, 0.728)
Zn (0.661, 0.831, 0.272)
Zn (0.831, 0.169, 0.728)
Zn (0.831, 0.661, 0.728)
Ga (0.333, 0.667, 0.896)
Ga (0.667, 0.333, 0.104)

***

10.
Entry from Alexandria: a relaxed structure of AlAg2BS (GGA-PBE).

Fermi-level density of states = 0.486 states/eV per atom
Uncorrected energy = -3.37 eV per atom

Cell: 4.472 4.472 4.382 Å, 90.00 90.00 90.00°
Fractional coordinates of all 5 atoms:
Al (0.000, 0.000, 0.000)
Ag (0.000, 0.500, 0.500)
Ag (0.500, 0.000, 0.500)
B (0.500, 0.500, 0.500)
S (0.500, 0.500, 0.000)

***

11.
Entry from Alexandria: a relaxed structure of Ce2TmPu3P6 (GGA-PBE).

Fermi-level density of states = 2.448 states/eV per atom
Uncorrected energy = -8.99 eV per atom
DFT formation energy = -31.0 kcal/mol of atoms

Cell: 6.981 6.981 6.942 Å, 99.65 99.65 120.00°
Fractional coordinates of all 12 atoms:
Ce (0.166, 0.834, 0.000)
Ce (0.834, 0.166, 0.000)
Tm (0.500, 0.500, 0.000)
Pu (0.000, 0.000, 0.500)
Pu (0.333, 0.667, 0.500)
Pu (0.667, 0.333, 0.500)
P (0.086, 0.415, 0.746)
P (0.256, 0.256, 0.256)
P (0.415, 0.086, 0.746)
P (0.585, 0.914, 0.254)
P (0.744, 0.744, 0.744)
P (0.914, 0.585, 0.254)

***

12.
Entry from Alexandria: a relaxed structure of Na12Sb7Pt (GGA-PBE).

Fermi-level density of states = 0.380 states/eV per atom
Uncorrected energy = -2.80 eV per atom

Cell: 8.806 8.806 8.806 Å, 105.61 105.61 105.61°
Fractional coordinates of all 20 atoms:
Na (0.084, 0.283, 0.375)
Na (0.205, 0.665, 0.362)
Na (0.283, 0.375, 0.084)
Na (0.335, 0.638, 0.795)
Na (0.362, 0.205, 0.665)
Na (0.375, 0.084, 0.283)
Na (0.625, 0.916, 0.717)
Na (0.638, 0.795, 0.335)
Na (0.665, 0.362, 0.205)
Na (0.717, 0.625, 0.916)
Na (0.795, 0.335, 0.638)
Na (0.916, 0.717, 0.625)
Sb (0.003, 0.898, 0.285)
Sb (0.102, 0.715, 0.997)
Sb (0.285, 0.003, 0.898)
Sb (0.500, 0.500, 0.500)
Sb (0.715, 0.997, 0.102)
Sb (0.898, 0.285, 0.003)
Sb (0.997, 0.102, 0.715)
Pt (0.000, 0.000, 0.000)

***

13.
Entry from Alexandria: a relaxed structure of Y2Pt2S7 (GGA-PBE).

Uncorrected energy = -5.96 eV per atom

Cell: 8.644 8.644 8.644 Å, 60.00 60.00 60.00°
Fractional coordinates of all 22 atoms:
Y (0.000, 0.000, 0.000)
Y (0.000, 0.000, 0.500)
Y (0.000, 0.500, 0.000)
Y (0.500, 0.000, 0.000)
Pt (0.000, 0.500, 0.500)
Pt (0.500, 0.000, 0.500)
Pt (0.500, 0.500, 0.000)
Pt (0.500, 0.500, 0.500)
S (0.125, 0.125, 0.125)
S (0.163, 0.163, 0.587)
S (0.163, 0.587, 0.163)
S (0.163, 0.587, 0.587)
S (0.413, 0.413, 0.837)
S (0.413, 0.837, 0.413)
S (0.413, 0.837, 0.837)
S (0.587, 0.163, 0.163)
S (0.587, 0.163, 0.587)
S (0.587, 0.587, 0.163)
S (0.837, 0.413, 0.413)
S (0.837, 0.413, 0.837)
S (0.837, 0.837, 0.413)
S (0.875, 0.875, 0.875)

***

14.
Entry from Alexandria: a relaxed structure of Ba6TeRh2 (GGA-PBE).

Fermi-level density of states = 0.927 states/eV per atom
Uncorrected energy = -3.72 eV per atom

Cell: 8.002 8.002 7.743 Å, 90.00 90.00 120.00°
Fractional coordinates of all 9 atoms:
Ba (0.000, 0.355, 0.225)
Ba (0.000, 0.645, 0.775)
Ba (0.355, 0.000, 0.225)
Ba (0.355, 0.355, 0.775)
Ba (0.645, 0.000, 0.775)
Ba (0.645, 0.645, 0.225)
Te (0.000, 0.000, 0.500)
Rh (0.333, 0.667, 0.000)
Rh (0.667, 0.333, 0.000)

***

15.
Entry from Alexandria: a relaxed structure of TiBr4 (GGA-PBE).

Fermi-level density of states = 0.000 states/eV per atom
Uncorrected energy = -4.12 eV per atom

Cell: 11.314 7.338 11.185 Å, 90.00 101.40 90.00°
Fractional coordinates of all 20 atoms:
Ti (0.249, 0.076, 0.364)
Ti (0.249, 0.424, 0.864)
Ti (0.751, 0.576, 0.136)
Ti (0.751, 0.924, 0.636)
Br (0.079, 0.079, 0.207)
Br (0.079, 0.421, 0.707)
Br (0.203, 0.574, 0.033)
Br (0.203, 0.926, 0.533)
Br (0.308, 0.124, 0.917)
Br (0.308, 0.376, 0.417)
Br (0.406, 0.577, 0.798)
Br (0.406, 0.923, 0.298)
Br (0.594, 0.077, 0.702)
Br (0.594, 0.423, 0.202)
Br (0.692, 0.624, 0.583)
Br (0.692, 0.876, 0.083)
Br (0.797, 0.074, 0.467)
Br (0.797, 0.426, 0.967)
Br (0.921, 0.579, 0.293)
Br (0.921, 0.921, 0.793)

***

16.
Entry from Alexandria: a relaxed structure of Sm2GeCl (GGA-PBE).

Fermi-level density of states = 0.597 states/eV per atom
Polymorph energy (0 for the lowest one) = 0.0805 eV per atom
Uncorrected energy = -5.15 eV per atom

Cell: 7.718 7.718 7.718 Å, 31.16 31.16 31.16°
Fractional coordinates of all 4 atoms:
Sm (0.000, 0.000, 0.000)
Sm (0.190, 0.190, 0.190)
Ge (0.596, 0.596, 0.596)
Cl (0.425, 0.425, 0.425)

***

17.
Entry from Alexandria: a relaxed structure of UTlBr6 (GGA-PBE).

Uncorrected energy = -4.13 eV per atom

Cell: 7.313 7.313 7.442 Å, 98.15 98.15 115.34°
Fractional coordinates of all 8 atoms:
U (0.000, 0.000, 0.000)
Tl (0.500, 0.500, 0.500)
Br (0.032, 0.341, 0.228)
Br (0.245, 0.245, 0.805)
Br (0.341, 0.032, 0.228)
Br (0.659, 0.968, 0.772)
Br (0.755, 0.755, 0.195)
Br (0.968, 0.659, 0.772)

***

18.
Entry from Alexandria: a relaxed structure of Tb3Ce3TaN8 (GGA-PBE).

Fermi-level density of states = 0.652 states/eV per atom
Uncorrected energy = -8.78 eV per atom

Cell: 6.909 6.909 6.909 Å, 60.28 60.28 60.28°
Fractional coordinates of all 15 atoms:
Tb (0.000, 0.500, 0.500)
Tb (0.500, 0.000, 0.500)
Tb (0.500, 0.500, 0.000)
Ce (0.000, 0.000, 0.500)
Ce (0.000, 0.500, 0.000)
Ce (0.500, 0.000, 0.000)
Ta (0.500, 0.500, 0.500)
N (0.251, 0.251, 0.251)
N (0.276, 0.720, 0.720)
N (0.280, 0.280, 0.724)
N (0.280, 0.724, 0.280)
N (0.720, 0.276, 0.720)
N (0.720, 0.720, 0.276)
N (0.724, 0.280, 0.280)
N (0.749, 0.749, 0.749)

***

19.
Entry from Alexandria: a relaxed structure of Cd2BPPd6 (GGA-PBE).

Fermi-level density of states = 0.383 states/eV per atom
Uncorrected energy = -4.86 eV per atom
DFT formation energy = -8.1 kcal/mol of atoms

Cell: 5.722 5.818 5.982 Å, 69.82 69.16 62.04°
Fractional coordinates of all 10 atoms:
Cd (0.210, 0.302, 0.284)
Cd (0.790, 0.698, 0.716)
B (0.000, 0.000, 0.000)
P (0.500, 0.500, 0.500)
Pd (0.162, 0.838, 0.309)
Pd (0.279, 0.667, 0.853)
Pd (0.292, 0.184, 0.797)
Pd (0.708, 0.816, 0.203)
Pd (0.721, 0.333, 0.147)
Pd (0.838, 0.162, 0.691)

***

20.
Entry from Alexandria: a relaxed structure of Sm2HIr (GGA-PBE).

Fermi-level density of states = 0.505 states/eV per atom
Polymorph energy (0 for the lowest one) = 0.1989 eV per atom
Uncorrected energy = -5.83 eV per atom

Cell: 7.724 7.724 7.724 Å, 31.58 31.58 31.58°
Fractional coordinates of all 4 atoms:
Sm (0.101, 0.101, 0.101)
Sm (0.899, 0.899, 0.899)
H (0.000, 0.000, 0.000)
Ir (0.500, 0.500, 0.500)